VASP calculation (PBE) on crystalline LiTiOs2N at its relaxed geometry.

formation energy from raw total energies = -0.03 eV per atom
mass density = 11.4 g cm⁻³
size of the total moment = 0.000 μB/f.u.

Geometry as CIF:
```
data_LiTiOs2N
_chemical_formula_sum 'Li1 Ti1 Os2 N1'
_symmetry_space_group_name_H-M 'P 4/m m m'
_symmetry_Int_Tables_number 123
_symmetry_space_group_name_Hall '-P 4 2'
_cell_length_a 4.0291
_cell_length_b 4.0291
_cell_length_c 4.0328
_cell_angle_alpha 90.00
_cell_angle_beta 90.00
_cell_angle_gamma 90.00
loop_
_atom_site_label
_atom_site_type_symbol
_atom_site_fract_x
_atom_site_fract_y
_atom_site_fract_z
Li1 Li 0.0000 0.0000 0.0000
Ti1 Ti 0.5000 0.5000 0.0000
Os1 Os 0.0000 0.5000 0.5000
N1 N 0.5000 0.5000 0.5000
```